A geometry-optimized P2PtPb structure. Source: Alexandria, functional PBE-GGA.

```
P2PtPb
1.0
5.6236 -0.0247 0.0105
1.8551 5.3089 -0.0105
-2.8141 -3.9516 2.8445
P Pb Pt
2 1 1
Direct
0.0606 0.0606 0.0000 P
0.4394 0.4394 0.0000 P
0.7500 0.2500 0.5000 Pb
0.2500 0.7500 0.5000 Pt
```

## Properties
M_tot   0.000 μB/f.u.
E   -4.989 eV per atom
Crystal system   orthorhombic
E_form   0.153 eV/atom